# BaTl2TeS4

A relaxed BaTl2TeS4 crystal (PBE, the Alexandria database).

Magnetization (μB per formula unit): 0.00
Total DFT energy (no corrections) (eV/atom): -3.946
Uncorrected formation energy (eV/atom): -0.6581

Lattice parameters (Å, degrees): 12.6727 12.8477 8.7993 90.00 133.47 90.00
Space group C2 (No. 5)
Asymmetric unit:
Ba 0.2411 0.0000 0.2348 (multiplicity 4)
Tl 0.0063 0.7598 0.2660 (multiplicity 4)
Tl 0.2249 0.0038 0.7255 (multiplicity 4)
Te 0.0484 0.2713 0.3001 (multiplicity 4)
S 0.0060 0.9750 0.2483 (multiplicity 4)
S 0.0096 0.4558 0.2638 (multiplicity 4)
S 0.2136 0.2505 0.2511 (multiplicity 4)
S 0.2168 0.2539 0.6750 (multiplicity 4)